[1]
Computed, not measured: crystalline Mg2NiRh at its relaxed geometry at the PBE level of DFT.

## Properties
The space-group type is I-4m2, No. 119. For the formation energy, the calculation gives -0.8 eV per formula unit.

Cell lengths 4.907, 4.907, 4.907 Å; angles 134.09, 134.09, 66.95 degrees
Sites, in units of the cell vectors:
Mg: 0.000 0.000 0.000
Mg: 0.750 0.250 0.500
Ni: 0.250 0.750 0.500
Rh: 0.500 0.500 0.000



[2]
Computed, not measured: crystalline Mg2NiRh at its relaxed geometry at the PBE level of DFT.

## Properties
The space-group type is Imm2, No. 44. For the formation energy, the calculation gives -1.0 eV per formula unit.

Cell lengths 5.267, 5.267, 5.267 Å; angles 146.03, 131.73, 60.34 degrees
Sites, in units of the cell vectors:
Mg: 0.000 0.000 0.000
Mg: 0.722 0.222 0.500
Ni: 0.242 0.742 0.500
Rh: 0.469 0.469 0.000



[3]
Computed, not measured: crystalline MgNi2Rh at its relaxed geometry at the PBE level of DFT.

## Properties
The space-group type is Cmmm, No. 65. For the formation energy, the calculation gives -0.5 eV per formula unit.

Cell lengths 4.479, 4.479, 2.721 Å; angles 90.00, 90.00, 107.64 degrees
Sites, in units of the cell vectors:
Mg: 0.000 0.000 0.000
Ni: 0.000 0.500 0.500
Ni: 0.500 0.000 0.500
Rh: 0.500 0.500 0.000



[4]
Computed, not measured: crystalline MgNiRh at its relaxed geometry at the PBE level of DFT.

## Properties
The space-group type is P-6m2, No. 187. For the formation energy, the calculation gives -0.4 eV per formula unit.

Cell lengths 4.225, 4.225, 2.814 Å; angles 90.00, 90.00, 120.00 degrees
Sites, in units of the cell vectors:
Mg: 0.000 0.000 0.000
Ni: 0.333 0.667 0.500
Rh: 0.667 0.333 0.500



[5]
Computed, not measured: crystalline MgNiRh at its relaxed geometry at the PBE level of DFT.

## Properties
The space-group type is Imma, No. 74. For the formation energy, the calculation gives -0.8 eV per formula unit.

Cell lengths 4.994, 4.994, 4.994 Å; angles 122.23, 116.86, 90.85 degrees
Sites, in units of the cell vectors:
Mg: 0.374 0.124 0.250
Mg: 0.626 0.876 0.750
Ni: 0.000 0.000 0.500
Ni: 0.000 0.500 0.000
Rh: 0.000 0.500 0.500
Rh: 0.500 0.500 0.000



[6]
Computed, not measured: crystalline Mg2NiRh at its relaxed geometry at the PBE level of DFT.

## Properties
The space-group type is R-3m, No. 166. For the formation energy, the calculation gives -0.5 eV per formula unit.

Cell lengths 8.487, 8.487, 8.487 Å; angles 19.70, 19.70, 19.70 degrees
Sites, in units of the cell vectors:
Mg: 0.249 0.249 0.249
Mg: 0.751 0.751 0.751
Ni: 0.500 0.500 0.500
Rh: 0.000 0.000 0.000



[7]
Computed, not measured: crystalline Mg2Ni2Rh at its relaxed geometry at the PBE level of DFT.

## Properties
The space-group type is I4/mmm, No. 139. For the formation energy, the calculation gives 2.1 eV per formula unit.

Cell lengths 6.065, 6.065, 6.065 Å; angles 143.88, 143.88, 52.01 degrees
Sites, in units of the cell vectors:
Mg: 0.250 0.750 0.500
Mg: 0.750 0.250 0.500
Ni: 0.098 0.098 0.000
Ni: 0.902 0.902 0.000
Rh: 0.500 0.500 0.000



[8]
Computed, not measured: crystalline MgNiRh at its relaxed geometry at the PBE level of DFT.

## Properties
The space-group type is I4mm, No. 107. For the formation energy, the calculation gives -0.4 eV per formula unit.

Cell lengths 5.816, 5.816, 5.816 Å; angles 152.30, 152.30, 39.57 degrees
Sites, in units of the cell vectors:
Mg: 0.000 0.000 0.000
Ni: 0.329 0.329 0.000
Rh: 0.678 0.678 0.000